Entry 1:
Density functional theory data (PBE) for crystalline LiMg2Fe at its relaxed geometry.

abc: 9.7289 9.7289 9.7289
angles: 17.23 17.23 17.23
Last column: nearest neighbours and their distance in Å.
Fractional positions:
Mg (0.5063, 0.5063, 0.5063)  3 Fe 2.78, 6 Mg 2.91, 3 Li 3.08
Mg (0.9937, 0.9937, 0.9937)  3 Fe 2.78, 6 Mg 2.91, 3 Li 3.08
Fe (0.2500, 0.2500, 0.2500)  6 Mg 2.78, 6 Fe 2.91
Li (0.7500, 0.7500, 0.7500)  6 Li 2.91, 6 Mg 3.08

Values from the calculation:
Energy relative to the elements, eV per formula unit: 0.7
Space-group type: No. 166
Crystal system: trigonal
DFT total energy, eV per atom: -3.222


Entry 2:
Density functional theory data (PBE) for crystalline Nd3SiO at its relaxed geometry.

abc: 4.8671 4.8671 4.8671
angles: 90.00 90.00 90.00
Last column: nearest neighbours and their distance in Å.
Fractional positions:
Nd (0.0000, 0.5000, 0.0000)  2 O 2.43
Nd (0.0000, 0.0000, 0.5000)  2 O 2.43
O (0.0000, 0.0000, 0.0000)  6 Nd 2.43
Nd (0.5000, 0.0000, 0.0000)  2 O 2.43
Si (0.5000, 0.5000, 0.5000)  12 Nd 3.44

Values from the calculation:
Space-group type: No. 221
Crystal system: cubic
E_form (uncorrected), eV per atom: -1.29
ΔE to the lowest computed polymorph, eV/f.u.: 0.00
DFT total energy, eV per atom: -6.224


Repeat the second record exactly.
Density functional theory data (PBE) for crystalline Nd3SiO at its relaxed geometry.

abc: 4.8671 4.8671 4.8671
angles: 90.00 90.00 90.00
Last column: nearest neighbours and their distance in Å.
Fractional positions:
Nd (0.0000, 0.5000, 0.0000)  2 O 2.43
Nd (0.0000, 0.0000, 0.5000)  2 O 2.43
O (0.0000, 0.0000, 0.0000)  6 Nd 2.43
Nd (0.5000, 0.0000, 0.0000)  2 O 2.43
Si (0.5000, 0.5000, 0.5000)  12 Nd 3.44

Values from the calculation:
Space-group type: No. 221
Crystal system: cubic
E_form (uncorrected), eV per atom: -1.29
ΔE to the lowest computed polymorph, eV/f.u.: 0.00
DFT total energy, eV per atom: -6.224